(1)
Entry from the Alexandria database: Nd2CdGe4Rh3 after structural relaxation (PBE-GGA).

The structure in POSCAR format:
```
Nd2CdGe4Rh3
1.0
4.326 0.000 0.000
0.000 4.326 0.000
0.000 0.000 10.384
Nd Cd Ge Rh
2 1 4 3
direct
0.500 0.000 0.235
0.000 0.500 0.765
0.500 0.500 0.500
0.500 0.500 0.000
0.000 0.000 0.000
0.500 0.000 0.648
0.000 0.500 0.352
0.000 0.000 0.500
0.500 0.000 0.882
0.000 0.500 0.118
```

Properties
* DFT formation energy: -0.71 eV per atom
* electronic total energy: -0.42693 Ry per atom
* space-group type: P-4m2, No. 115
* DOS at the Fermi energy: 6.542 states/eV/cell
* ρ: 8.55 g/cm³



(2)
Entry from the Alexandria database: Nd6CdGe2S14 after structural relaxation (PBE-GGA).

The structure in POSCAR format:
```
Nd6CdGe2S14
1.0
-3.207 7.547 6.190
0.291 -9.681 3.427
5.448 0.812 1.832
Nd Cd Ge S
6 1 2 14
direct
0.459 0.024 0.756
0.565 0.541 0.756
0.976 0.435 0.756
0.207 0.309 0.251
0.102 0.793 0.251
0.691 0.898 0.251
0.333 0.667 0.515
0.667 0.333 0.174
0.000 0.000 0.666
0.426 0.924 0.277
0.499 0.574 0.277
0.076 0.501 0.277
0.244 0.410 0.765
0.166 0.756 0.765
0.590 0.834 0.765
0.667 0.333 0.552
0.000 0.000 0.045
0.746 0.186 0.016
0.439 0.254 0.016
0.814 0.561 0.016
0.920 0.148 0.511
0.228 0.080 0.511
0.852 0.772 0.511
```

Properties
* formation energy from raw total energies: -145.4 kJ/mol of atoms
* electronic total energy: -0.41930 Ry per atom
* space-group type: P3, No. 143
* DOS at the Fermi energy: 0.000 states/eV/cell
* ρ: 4.92 g/cm³



Question: Which of these has the highest DOS at the Fermi energy?
Answer: Nd2CdGe4Rh3



Question: Among the records above, which one has the highest electronic total energy?
Answer: Nd6CdGe2S14



Question: What is the DOS at the Fermi energy in the first record?
Answer: 6.542 states/eV/cell



Question: Among the records above, which one has the lowest electronic total energy?
Answer: Nd2CdGe4Rh3